Record 1
VASP calculation (GGA-PBE) on a relaxed Cd2SeO crystal.

POSCAR file:
```
Cd2SeO
1.0
3.851 0.000 0.000
-1.925 3.335 0.000
0.000 0.000 12.531
Cd O Se
4 2 2
Direct
0.000 0.000 0.493
0.000 0.000 0.993
0.667 0.333 0.765
0.333 0.667 0.265
0.000 0.000 0.822
0.000 0.000 0.322
0.333 0.667 0.608
0.667 0.333 0.108
```

Summary:
Energy above the most stable polymorph in this dataset = 0.054 eV/atom
Uncorrected energy = -3.2484 eV/atom
Space group = P6_3mc (186)

---

Record 2
VASP calculation (GGA-PBE) on a relaxed Er2Te6Ir crystal.

POSCAR file:
```
Er2Te6Ir
1.0
8.305 0.000 0.000
-4.153 7.193 0.000
0.000 0.000 3.974
Te Er Ir
6 2 1
Direct
0.000 0.227 0.500
0.227 0.000 0.500
0.000 0.551 0.000
0.551 0.000 0.000
0.773 0.773 0.500
0.449 0.449 0.000
0.333 0.667 0.500
0.667 0.333 0.500
0.000 0.000 0.000
```

Summary:
Uncorrected energy = -4.7752 eV/atom
Space group = P-62m (189)
Magnetic moment = 0.000 μB per atom